{"formula": "Ga2SiHg2", "functional": "PBE", "state": "relaxed", "cell": [[6.471, 0.000, 0.000], [0.000, 6.471, 0.000], [0.000, 0.000, 5.548]], "species": ["Si", "Si", "Hg", "Hg", "Hg", "Hg", "Ga", "Ga", "Ga", "Ga"], "fractional_positions": [[0.000, 0.000, 0.000], [0.500, 0.500, 0.000], [0.296, 0.796, 0.500], [0.796, 0.704, 0.500], [0.704, 0.204, 0.500], [0.204, 0.296, 0.500], [0.361, 0.861, 0.000], [0.861, 0.639, 0.000], [0.639, 0.139, 0.000], [0.139, 0.361, 0.000]], "dos_ef_per_ev_cell": 3.95, "raw_formation_energy_ev_per_atom": 0.2034, "total_magnetization_mub_per_fu": 0.00}